A geometry-optimized Sm3Mn5H12 structure, computed with PBE-GGA.

POSCAR file:
```
Sm3Mn5H12
1.0
9.972 0.000 0.000
-3.324 9.401 0.000
-3.324 -4.701 8.142
H Sm Mn
48 12 20
direct
0.418 0.314 0.334
0.584 0.980 0.666
0.520 0.334 0.916
0.584 0.604 0.418
0.416 0.396 0.582
0.896 0.582 0.916
0.834 0.918 0.314
0.916 0.834 0.520
0.314 0.896 0.980
0.020 0.604 0.686
0.396 0.416 0.082
0.896 0.314 0.480
0.082 0.166 0.186
0.020 0.416 0.834
0.186 0.666 0.082
0.604 0.020 0.186
0.334 0.814 0.418
0.916 0.082 0.896
0.104 0.686 0.520
0.084 0.166 0.480
0.604 0.584 0.918
0.416 0.020 0.334
0.084 0.918 0.104
0.834 0.916 0.020
0.666 0.480 0.584
0.082 0.916 0.396
0.418 0.104 0.584
0.520 0.186 0.104
0.686 0.104 0.020
0.686 0.582 0.166
0.814 0.334 0.918
0.104 0.418 0.084
0.918 0.834 0.814
0.918 0.084 0.604
0.314 0.418 0.834
0.186 0.520 0.604
0.814 0.480 0.396
0.480 0.814 0.896
0.582 0.896 0.416
0.980 0.584 0.166
0.334 0.520 0.416
0.582 0.686 0.666
0.166 0.082 0.686
0.480 0.666 0.084
0.980 0.396 0.314
0.166 0.084 0.980
0.396 0.980 0.814
0.666 0.186 0.582
0.625 0.250 0.375
0.875 0.125 0.250
0.750 0.875 0.625
0.250 0.625 0.875
0.750 0.375 0.125
0.375 0.625 0.250
0.625 0.375 0.750
0.875 0.750 0.125
0.125 0.875 0.750
0.125 0.250 0.875
0.250 0.125 0.375
0.375 0.750 0.625
0.875 0.625 0.750
0.250 0.375 0.625
0.500 0.000 0.500
0.875 0.250 0.625
0.375 0.250 0.125
0.125 0.375 0.250
0.000 0.000 0.000
0.000 0.000 0.500
0.625 0.875 0.250
0.250 0.875 0.125
0.375 0.125 0.750
0.750 0.625 0.375
0.750 0.125 0.875
0.125 0.750 0.375
0.000 0.500 0.500
0.000 0.500 0.000
0.500 0.000 0.000
0.500 0.500 0.500
0.500 0.500 0.000
0.625 0.750 0.875
```

DOS at the Fermi energy, states/eV/f.u.: 6.18
E, eV per atom: -5.17
Theoretical density, g/cm3: 6.4